# 1
5
Lattice="-3.364 -2.714 -1.982 0.128 -2.906 3.761 -3.358 2.608 2.129" Properties=species:S:1:pos:R:3 comment="BaFe3Mo PBE optimized geometry" de_polymorph_kcal_per_mol_atoms=39.14 m_tot_mub_per_cell=10.507 spacegroup="No. 221" delta_e_f_ev_per_atom=2.742 pbc="T T T"
Fe -1.682 -1.357 -0.991
Fe 0.064 -1.453 1.881
Fe -1.679 1.304 1.065
Mo -3.297 -1.506 1.955
Ba 0.000 0.000 0.000



# 2
3
Lattice="4.851 0.000 0.000 2.425 4.201 0.000 2.425 1.400 3.961" Properties=species:S:1:pos:R:3 comment="BaFeMo PBE optimized geometry" de_polymorph_kcal_per_mol_atoms=35.96 m_tot_mub_per_cell=5.819 spacegroup="No. 216" delta_e_f_ev_per_atom=2.318 pbc="T T T"
Fe 0.000 0.000 0.000
Mo 4.851 2.801 1.980
Ba 2.425 1.400 0.990



# 3
4
Lattice="5.899 0.032 0.000 -3.465 4.774 0.000 0.000 0.000 2.802" Properties=species:S:1:pos:R:3 comment="BaFeMo2 PBE optimized geometry" de_polymorph_kcal_per_mol_atoms=16.28 m_tot_mub_per_cell=2.262 spacegroup="No. 65" delta_e_f_ev_per_atom=1.388 pbc="T T T"
Fe -1.732 2.387 1.401
Ba 2.949 0.016 1.401
Mo 0.000 0.000 0.000
Mo 1.217 2.403 0.000



# 4
4
Lattice="5.838 0.007 -0.019 -3.229 4.864 -0.019 0.453 0.845 2.706" Properties=species:S:1:pos:R:3 comment="BaFeMo2 PBE optimized geometry" de_polymorph_kcal_per_mol_atoms=14.39 m_tot_mub_per_cell=2.423 spacegroup="No. 12" delta_e_f_ev_per_atom=1.306 pbc="T T T"
Mo 0.000 0.000 0.000
Mo 1.305 2.436 -0.019
Ba 3.146 0.426 1.343
Fe -1.388 2.855 1.343



# 5
4
Lattice="10.202 0.025 0.015 9.754 2.989 0.015 9.754 1.473 2.601" Properties=species:S:1:pos:R:3 comment="BaFeMo2 PBE optimized geometry" de_polymorph_kcal_per_mol_atoms=10.24 m_tot_mub_per_cell=2.002 spacegroup="No. 166" delta_e_f_ev_per_atom=1.126 pbc="T T T"
Mo 0.566 0.086 0.050
Mo 14.289 2.158 1.265
Fe 22.283 3.365 1.973
Ba 7.428 1.122 0.658



# 6
6
Lattice="6.391 -2.261 2.100 0.707 -3.388 6.196 1.450 -6.947 0.101" Properties=species:S:1:pos:R:3 comment="Ba4FeMo PBE optimized geometry" m_tot_mub_per_cell=6.397 spacegroup="No. 216" delta_e_f_ev_per_atom=1.481 pbc="T T T"
Mo 0.000 0.000 0.000
Ba 3.930 -8.195 3.200
Ba 3.206 -4.724 3.150
Ba 6.399 -5.854 4.199
Ba 3.559 -6.417 6.246
Fe 6.411 -9.446 6.298



# 7
5
Lattice="-0.619 -2.864 1.291 2.376 -1.288 -1.718 8.062 0.110 8.081" Properties=species:S:1:pos:R:3 comment="Ba2Fe2Mo PBE optimized geometry" de_polymorph_kcal_per_mol_atoms=7.52 m_tot_mub_per_cell=0.001 spacegroup="No. 139" delta_e_f_ev_per_atom=1.204 pbc="T T T"
Mo 0.000 0.000 0.000
Fe 4.160 -2.415 4.580
Fe 5.658 -1.627 3.075
Ba 7.220 -2.490 5.882
Ba 2.598 -1.553 1.772



# 8
4
Lattice="5.357 0.000 0.000 0.000 3.842 0.000 0.000 0.000 3.842" Properties=species:S:1:pos:R:3 comment="BaFeMo2 PBE optimized geometry" de_polymorph_kcal_per_mol_atoms=17.22 m_tot_mub_per_cell=1.487 spacegroup="No. 123" delta_e_f_ev_per_atom=1.429 pbc="T T T"
Fe 2.678 0.000 1.921
Mo 0.000 0.000 0.000
Mo 0.000 1.921 1.921
Ba 2.678 1.921 0.000



Please write out number 5 again, unchanged.
4
Lattice="10.202 0.025 0.015 9.754 2.989 0.015 9.754 1.473 2.601" Properties=species:S:1:pos:R:3 comment="BaFeMo2 PBE optimized geometry" de_polymorph_kcal_per_mol_atoms=10.24 m_tot_mub_per_cell=2.002 spacegroup="No. 166" delta_e_f_ev_per_atom=1.126 pbc="T T T"
Mo 0.566 0.086 0.050
Mo 14.289 2.158 1.265
Fe 22.283 3.365 1.973
Ba 7.428 1.122 0.658